Crystalline NaNiTe at its relaxed geometry, computed with GGA-PBE.

Output
VASP energy   -0.265 Ry/atom

Cell lengths 6.2410, 6.2410, 6.2410 Å; angles 90.00, 90.00, 90.00 degrees
Space group F-43m (No. 216)
Unique sites:
Na1 0.0000 0.0000 0.0000 x4
Ni1 0.2500 0.2500 0.2500 x4
Te1 0.0000 0.0000 0.5000 x4